Record 1
# CoHN, relaxed, DFT GGA-PBE
# total magnetization	0.00	μB/cell
# DOS(E_F)	3.88	states/eV per cell
# raw total energy	-6.09	eV/atom
data_CoHN
_symmetry_space_group_name_H-M 'R 3 m'
_symmetry_Int_Tables_number 160
_symmetry_space_group_name_Hall 'R 3 -2"'
_cell_length_a 2.9027
_cell_length_b 2.9027
_cell_length_c 11.8156
_cell_angle_alpha 90.00
_cell_angle_beta 90.00
_cell_angle_gamma 120.00
loop_
_atom_site_label
_atom_site_fract_x
_atom_site_fract_y
_atom_site_fract_z
_atom_site_occupancy
Co1 0.0000 0.0000 0.0000 1
H1 0.0000 0.0000 0.8146 1
N1 0.0000 0.0000 0.7240 1

Record 2
# BaAc3Si4, relaxed, DFT GGA-PBE
# total magnetization	0.44	μB/cell
# DOS(E_F)	14.88	states/eV per cell
# formation energy (no corrections)	-2.75	eV per formula unit
data_BaAc3Si4
_symmetry_space_group_name_H-M 'I m m m'
_symmetry_Int_Tables_number 71
_symmetry_space_group_name_Hall '-I 2 2'
_cell_length_a 4.3570
_cell_length_b 6.8351
_cell_length_c 17.4926
_cell_angle_alpha 90.00
_cell_angle_beta 90.00
_cell_angle_gamma 90.00
loop_
_atom_site_label
_atom_site_fract_x
_atom_site_fract_y
_atom_site_fract_z
_atom_site_occupancy
Ba1 0.0000 0.0000 0.0000 1
Ac1 0.0000 0.0000 0.5000 1
Ac2 0.0000 0.5000 0.3036 1
Si1 0.0000 0.3294 0.1329 1

Record 3
# Th3Ga4Ni2, relaxed, DFT GGA-PBE
# total magnetization	0.00	μB/cell
# DOS(E_F)	12.57	states/eV per cell
# energy of formation	-5.2	eV per formula unit
data_Th3Ga4Ni2
_symmetry_space_group_name_H-M 'C 1 2/m 1'
_symmetry_Int_Tables_number 12
_cell_length_a 10.8610
_cell_length_b 4.3729
_cell_length_c 8.3949
_cell_angle_alpha 90.00
_cell_angle_beta 109.09
_cell_angle_gamma 90.00
loop_
_symmetry_equiv_pos_as_xyz
'x,y,z'
'-x,-y,-z'
'-x,y,-z'
'x,-y,z'
'x+1/2,y+1/2,z'
'-x+1/2,-y+1/2,-z'
'-x+1/2,y+1/2,-z'
'x+1/2,-y+1/2,z'
loop_
_atom_site_label
_atom_site_fract_x
_atom_site_fract_y
_atom_site_fract_z
_atom_site_occupancy
Th1 0.0000 0.0000 0.0000 1
Th2 0.1763 0.5000 0.6458 1
Ga1 0.0322 0.0000 0.3654 1
Ga2 0.2273 0.5000 0.0725 1
Ni1 0.0991 0.5000 0.2731 1

Record 4
# PrTm2Al9, relaxed, DFT GGA-PBE
# total magnetization	0.00	μB/cell
# DOS(E_F)	14.55	states/eV per cell
# energy of formation	-4.6	eV per formula unit
data_PrTm2Al9
_symmetry_space_group_name_H-M 'R -3 m'
_symmetry_Int_Tables_number 166
_symmetry_space_group_name_Hall '-R 3 2"'
_cell_length_a 5.5853
_cell_length_b 5.5853
_cell_length_c 26.2505
_cell_angle_alpha 90.00
_cell_angle_beta 90.00
_cell_angle_gamma 120.00
loop_
_atom_site_label
_atom_site_fract_x
_atom_site_fract_y
_atom_site_fract_z
_atom_site_occupancy
Pr1 0.0000 0.0000 0.0000 1
Tm1 0.0000 0.0000 0.1421 1
Al1 0.0000 0.0000 0.3356 1
Al2 0.0000 0.0000 0.5000 1
Al3 0.0076 0.5038 0.9157 1

Record 5
# SbOsW2, relaxed, DFT GGA-PBE
# total magnetization	0.00	μB/cell
# DOS(E_F)	9.98	states/eV per cell
# formation energy (no corrections)	2.11	eV per formula unit
data_SbOsW2
_symmetry_space_group_name_H-M 'R -3 m'
_symmetry_Int_Tables_number 166
_symmetry_space_group_name_Hall '-R 3 2"'
_cell_length_a 2.9372
_cell_length_b 2.9372
_cell_length_c 27.3658
_cell_angle_alpha 90.00
_cell_angle_beta 90.00
_cell_angle_gamma 120.00
loop_
_atom_site_label
_atom_site_fract_x
_atom_site_fract_y
_atom_site_fract_z
_atom_site_occupancy
Sb1 0.0000 0.0000 0.0000 1
Os1 0.0000 0.0000 0.5000 1
W1 0.0000 0.0000 0.2449 1

Record 6
# NaTlSnAs2, relaxed, DFT GGA-PBE
# total magnetization	0.00	μB/cell
# DOS(E_F)	6.48	states/eV per cell
# energy of formation	-0.8	eV per formula unit
data_NaTlSnAs2
_symmetry_space_group_name_H-M 'C 1 2/m 1'
_symmetry_Int_Tables_number 12
_cell_length_a 17.0528
_cell_length_b 4.5035
_cell_length_c 8.6538
_cell_angle_alpha 90.00
_cell_angle_beta 119.67
_cell_angle_gamma 90.00
loop_
_symmetry_equiv_pos_as_xyz
'x,y,z'
'-x,-y,-z'
'-x,y,-z'
'x,-y,z'
'x+1/2,y+1/2,z'
'-x+1/2,-y+1/2,-z'
'-x+1/2,y+1/2,-z'
'x+1/2,-y+1/2,z'
loop_
_atom_site_label
_atom_site_fract_x
_atom_site_fract_y
_atom_site_fract_z
_atom_site_occupancy
Na1 0.0893 0.0000 0.4336 1
Tl1 0.2402 0.0000 0.2215 1
Sn1 0.0627 0.5000 0.8961 1
As1 0.1190 0.5000 0.2466 1
As2 0.1219 0.0000 0.8046 1